Entry 1:
{"formula": "BaSrTl", "functional": "GGA-PBE", "state": "optimized geometry", "magmom_total_mub_per_fu": 0.00, "e_tot_ev_per_atom": -2.296, "ef_ev_per_atom": -0.306, "lattice": [[8.081, 0.038, -0.041], [6.963, 4.100, -0.036], [1.118, 0.302, 4.051]], "species": ["Sr", "Tl", "Ba"], "frac_coords": [[0.297, 0.297, 0.703], [0.674, 0.674, 0.326], [0.029, 0.029, 0.971]]}

=====

Entry 2:
{"formula": "BaSr2Tl", "functional": "GGA-PBE", "state": "optimized geometry", "magmom_total_mub_per_fu": 0.00, "e_tot_ev_per_atom": -1.987, "ef_ev_per_atom": -0.074, "lattice": [[0.000, 4.390, 4.390], [4.390, 0.000, 4.390], [4.390, 4.390, 0.000]], "species": ["Sr", "Sr", "Tl", "Ba"], "frac_coords": [[0.250, 0.250, 0.250], [0.750, 0.750, 0.750], [0.500, 0.500, 0.500], [0.000, 0.000, 0.000]]}

=====

Entry 3:
{"formula": "BaSr3Tl3", "functional": "GGA-PBE", "state": "optimized geometry", "magmom_total_mub_per_fu": 0.00, "e_tot_ev_per_atom": -2.353, "ef_ev_per_atom": -0.343, "lattice": [[-0.889, -3.745, -6.037], [6.537, -1.099, 2.487], [-4.775, -2.135, 4.889]], "species": ["Ba", "Sr", "Sr", "Sr", "Tl", "Tl", "Tl"], "frac_coords": [[0.000, 0.503, 0.000], [0.500, 0.004, 0.000], [0.500, 0.504, 0.500], [0.000, 0.004, 0.500], [0.500, 0.504, 0.000], [0.500, 0.004, 0.500], [0.000, 0.504, 0.500]]}

=====

Entry 4:
{"formula": "Ba3Sr6Tl", "functional": "GGA-PBE", "state": "optimized geometry", "magmom_total_mub_per_fu": 0.00, "e_tot_ev_per_atom": -1.839, "ef_ev_per_atom": -0.016, "lattice": [[-1.876, -3.761, -0.452], [11.249, -6.419, 6.718], [-14.288, 5.722, 11.709]], "species": ["Ba", "Ba", "Ba", "Ba", "Ba", "Ba", "Sr", "Sr", "Sr", "Sr", "Sr", "Sr", "Sr", "Sr", "Sr", "Sr", "Sr", "Sr", "Tl", "Tl"], "frac_coords": [[0.750, 0.352, 0.831], [0.250, 0.648, 0.169], [0.750, 0.633, 0.510], [0.250, 0.367, 0.490], [0.750, 0.141, 0.081], [0.250, 0.859, 0.919], [0.750, 0.560, 0.726], [0.250, 0.440, 0.274], [0.750, 0.875, 0.133], [0.250, 0.125, 0.867], [0.750, 0.392, 0.047], [0.250, 0.608, 0.953], [0.750, 0.766, 0.362], [0.250, 0.234, 0.638], [0.750, 0.072, 0.433], [0.250, 0.928, 0.567], [0.750, 0.864, 0.727], [0.250, 0.136, 0.273], [0.750, 0.094, 0.706], [0.250, 0.906, 0.294]]}

=====

Entry 5:
{"formula": "Ba3SrTl12", "functional": "GGA-PBE", "state": "optimized geometry", "magmom_total_mub_per_fu": 0.00, "e_tot_ev_per_atom": -2.489, "ef_ev_per_atom": -0.249, "lattice": [[5.128, 0.000, 0.000], [0.000, 5.128, 0.000], [0.000, 0.000, 20.235]], "species": ["Ba", "Ba", "Ba", "Sr", "Tl", "Tl", "Tl", "Tl", "Tl", "Tl", "Tl", "Tl", "Tl", "Tl", "Tl", "Tl"], "frac_coords": [[0.000, 0.000, 0.244], [0.000, 0.000, 0.500], [0.000, 0.000, 0.756], [0.000, 0.000, 0.000], [0.500, 0.500, 0.000], [0.500, 0.500, 0.257], [0.500, 0.500, 0.500], [0.500, 0.500, 0.743], [0.500, 0.000, 0.119], [0.500, 0.000, 0.373], [0.500, 0.000, 0.627], [0.500, 0.000, 0.881], [0.000, 0.500, 0.119], [0.000, 0.500, 0.373], [0.000, 0.500, 0.627], [0.000, 0.500, 0.881]]}

=====

Entry 6:
{"formula": "Ba2SrTl2", "functional": "GGA-PBE", "state": "optimized geometry", "magmom_total_mub_per_fu": 0.00, "e_tot_ev_per_atom": -2.327, "ef_ev_per_atom": -0.275, "lattice": [[-3.030, -4.453, 1.278], [1.742, -2.205, -3.552], [11.610, -4.619, 11.437]], "species": ["Ba", "Ba", "Ba", "Ba", "Sr", "Sr", "Tl", "Tl", "Tl", "Tl"], "frac_coords": [[0.250, 0.943, 0.884], [0.750, 0.057, 0.116], [0.250, 0.238, 0.476], [0.750, 0.762, 0.524], [0.250, 0.636, 0.274], [0.750, 0.364, 0.726], [0.250, 0.831, 0.662], [0.750, 0.169, 0.338], [0.250, 0.530, 0.060], [0.750, 0.470, 0.940]]}

=====

| no. | density (g cm⁻³) |
| --- | --- |
| 1 | 5.3 |
| 2 | 5.1 |
| 3 | 6.0 |
| 4 | 3.5 |
| 5 | 9.2 |
| 6 | 6.1 |